(i)
4
Lattice="3.856 0.000 0.000 0.000 3.856 0.000 0.000 0.000 7.142" Properties=species:S:1:pos:R:3 comment="PBEsol CaSbBr2, optimized geometry" crystal_system=tetragonal spacegroup=P4mm pbc="T T T"
Ca 0.000 0.000 0.000
Sb 1.928 1.928 2.117
Br 0.000 0.000 4.055
Br 1.928 1.928 6.183

---

(ii)
4
Lattice="3.407 0.000 0.000 0.000 3.407 0.000 0.000 0.000 11.067" Properties=species:S:1:pos:R:3 comment="PBEsol CaSbBr2, optimized geometry" crystal_system=tetragonal spacegroup=P4/mmm pbc="T T T"
Ca 0.000 0.000 0.000
Sb 0.000 0.000 5.533
Br 1.704 1.704 1.710
Br 1.704 1.704 9.357

---

(ii) wins, 0.156 eV/atom ahead of the next structure.

---

(i)
5
Lattice="4.909 0.000 0.000 0.000 4.909 0.000 0.000 0.000 5.007" Properties=species:S:1:pos:R:3 comment="PBEsol CaSiSe2Br, optimized geometry" crystal_system=tetragonal spacegroup=P4/mmm pbc="T T T"
Ca 0.000 0.000 0.000
Si 2.454 2.454 2.504
Se 0.000 2.454 2.504
Se 2.454 0.000 2.504
Br 2.454 2.454 0.000

---

(ii)
5
Lattice="5.358 0.000 0.000 0.000 5.358 0.000 0.000 0.000 5.266" Properties=species:S:1:pos:R:3 comment="PBEsol CaSiSe2Br, optimized geometry" crystal_system=tetragonal spacegroup=P4/mmm pbc="T T T"
Ca 0.000 0.000 0.000
Si 2.679 2.679 2.633
Se 0.000 2.679 0.000
Se 2.679 0.000 0.000
Br 0.000 0.000 2.633

---

(i) wins, 0.834 eV/atom ahead of the next structure.

---

(i)
4
Lattice="4.220 0.000 0.000 0.000 5.893 0.000 0.000 0.000 6.837" Properties=species:S:1:pos:R:3 comment="PBEsol Sr2CaBr, optimized geometry" crystal_system=orthorhombic spacegroup=Pmmm pbc="T T T"
Sr 0.000 0.000 0.000
Sr 2.110 0.000 3.418
Ca 0.000 2.947 3.418
Br 2.110 2.947 0.000

---

(ii)
12
Lattice="4.069 0.000 0.000 -2.035 3.524 0.000 0.000 0.000 33.076" Properties=species:S:1:pos:R:3 comment="PBEsol Sr2CaBr, optimized geometry" crystal_system=trigonal spacegroup=R-3m pbc="T T T"
Sr 0.000 0.000 7.810
Sr 0.000 0.000 25.266
Sr 0.000 2.349 14.240
Sr 0.000 2.349 29.861
Sr 2.035 1.175 3.215
Sr 2.035 1.175 18.836
Ca 0.000 0.000 0.000
Ca 0.000 2.349 22.051
Ca 2.035 1.175 11.025
Br 0.000 0.000 16.538
Br 0.000 2.349 5.513
Br 2.035 1.175 27.563

---

(iii)
4
Lattice="3.851 0.000 0.000 0.000 3.851 0.000 0.000 0.000 10.393" Properties=species:S:1:pos:R:3 comment="PBEsol Sr2CaBr, optimized geometry" crystal_system=tetragonal spacegroup=P4/mmm pbc="T T T"
Sr 0.000 0.000 2.245
Sr 0.000 0.000 8.148
Ca 1.926 1.926 5.196
Br 1.926 1.926 0.000

---

(iv)
8
Lattice="4.990 0.000 0.000 0.000 4.990 0.000 0.000 0.000 13.349" Properties=species:S:1:pos:R:3 comment="PBEsol Sr2CaBr, optimized geometry" crystal_system=tetragonal spacegroup=I-4m2 pbc="T T T"
Sr 0.000 0.000 0.000
Sr 0.000 2.495 3.337
Sr 2.495 0.000 10.012
Sr 2.495 2.495 6.674
Ca 0.000 2.495 10.012
Ca 2.495 0.000 3.337
Br 0.000 0.000 6.674
Br 2.495 2.495 0.000

---

(ii) wins, 0.072 eV/atom ahead of the next structure.

---

(i)
8
Lattice="19.710 0.000 0.000 0.000 3.822 0.000 -0.020 0.000 3.828" Properties=species:S:1:pos:R:3 comment="PBEsol SrCaBr2, optimized geometry" crystal_system=monoclinic spacegroup=Cm pbc="T T T"
Sr 0.000 0.000 0.000
Sr 9.855 1.911 0.000
Ca 3.221 1.911 1.935
Ca 13.076 0.000 1.935
Br 4.615 0.000 0.028
Br 8.286 0.000 1.906
Br 14.470 1.911 0.028
Br 18.141 1.911 1.906

---

(ii)
16
Lattice="8.121 0.000 0.000 0.000 8.121 0.000 0.000 0.000 8.121" Properties=species:S:1:pos:R:3 comment="PBEsol SrCaBr2, optimized geometry" crystal_system=cubic spacegroup=F-43m pbc="T T T"
Sr 0.000 0.000 0.000
Sr 0.000 4.060 4.060
Sr 4.060 0.000 4.060
Sr 4.060 4.060 0.000
Ca 2.030 2.030 2.030
Ca 2.030 6.090 6.090
Ca 6.090 2.030 6.090
Ca 6.090 6.090 2.030
Br 0.000 0.000 4.060
Br 0.000 4.060 0.000
Br 2.030 2.030 6.090
Br 2.030 6.090 2.030
Br 4.060 0.000 0.000
Br 4.060 4.060 4.060
Br 6.090 2.030 2.030
Br 6.090 6.090 6.090

---

(i) wins, 0.741 eV/atom ahead of the next structure.

---

(i)
8
Lattice="11.709 0.000 0.000 0.000 3.245 0.000 -1.628 0.000 5.276" Properties=species:S:1:pos:R:3 comment="PBEsol Ca2TaBr, optimized geometry" crystal_system=monoclinic spacegroup=Cm pbc="T T T"
Ca 0.000 0.000 0.000
Ca 1.313 0.000 3.336
Ca 5.855 1.622 0.000
Ca 7.168 1.622 3.336
Ta 4.445 0.000 2.489
Ta 10.300 1.622 2.489
Br 2.822 1.622 0.996
Br 8.677 0.000 0.996

---

(ii)
8
Lattice="3.340 0.000 0.000 0.000 5.933 0.000 0.000 0.000 10.268" Properties=species:S:1:pos:R:3 comment="PBEsol Ca2TaBr, optimized geometry" crystal_system=orthorhombic spacegroup=Immm pbc="T T T"
Ca 0.000 0.000 2.304
Ca 0.000 0.000 7.964
Ca 1.670 2.966 2.830
Ca 1.670 2.966 7.438
Ta 0.000 2.966 0.000
Ta 1.670 0.000 5.134
Br 0.000 2.966 5.134
Br 1.670 0.000 0.000

---

(iii)
12
Lattice="3.440 0.000 0.000 -1.720 2.979 0.000 0.000 0.000 28.417" Properties=species:S:1:pos:R:3 comment="PBEsol Ca2TaBr, optimized geometry" crystal_system=trigonal spacegroup=R-3m pbc="T T T"
Ca 0.000 0.000 7.013
Ca 0.000 0.000 21.404
Ca 0.000 1.986 11.932
Ca 0.000 1.986 25.957
Ca 1.720 0.993 2.459
Ca 1.720 0.993 16.485
Ta 0.000 0.000 0.000
Ta 0.000 1.986 18.944
Ta 1.720 0.993 9.472
Br 0.000 0.000 14.208
Br 0.000 1.986 4.736
Br 1.720 0.993 23.680

---

(iii) wins, 0.310 eV/atom ahead of the next structure.

---

(i)
16
Lattice="7.585 0.000 0.000 0.000 7.585 0.000 0.000 0.000 7.585" Properties=species:S:1:pos:R:3 comment="PBEsol CaTeBr2, optimized geometry" crystal_system=cubic spacegroup=F-43m pbc="T T T"
Ca 0.000 0.000 0.000
Ca 0.000 3.792 3.792
Ca 3.792 0.000 3.792
Ca 3.792 3.792 0.000
Te 1.896 1.896 5.688
Te 1.896 5.688 1.896
Te 5.688 1.896 1.896
Te 5.688 5.688 5.688
Br 0.000 0.000 3.792
Br 0.000 3.792 0.000
Br 1.896 1.896 1.896
Br 1.896 5.688 5.688
Br 3.792 0.000 0.000
Br 3.792 3.792 3.792
Br 5.688 1.896 5.688
Br 5.688 5.688 1.896

---

(ii)
12
Lattice="3.911 0.000 0.000 -1.956 3.387 0.000 0.000 0.000 27.972" Properties=species:S:1:pos:R:3 comment="PBEsol CaTeBr2, optimized geometry" crystal_system=trigonal spacegroup=R3m pbc="T T T"
Ca 0.000 0.000 0.000
Ca 0.000 2.258 18.648
Ca 1.956 1.129 9.324
Te 0.000 0.000 20.969
Te 0.000 2.258 11.645
Te 1.956 1.129 2.321
Br 0.000 0.000 7.677
Br 0.000 0.000 13.877
Br 0.000 2.258 4.553
Br 0.000 2.258 26.325
Br 1.956 1.129 17.001
Br 1.956 1.129 23.201

---

(iii)
4
Lattice="4.850 0.000 0.000 0.000 4.850 0.000 0.000 0.000 4.542" Properties=species:S:1:pos:R:3 comment="PBEsol CaTeBr2, optimized geometry" crystal_system=tetragonal spacegroup=P4/mmm pbc="T T T"
Ca 0.000 0.000 0.000
Te 2.425 2.425 0.000
Br 0.000 2.425 2.271
Br 2.425 0.000 2.271

---

(iii) wins, 0.049 eV/atom ahead of the next structure.

---

(i)
4
Lattice="3.569 0.000 0.000 0.000 3.570 0.000 -0.044 0.000 9.024" Properties=species:S:1:pos:R:3 comment="PBEsol CaTl2Br, optimized geometry" crystal_system=monoclinic spacegroup=Pm pbc="T T T"
Ca 0.000 0.000 0.000
Tl 0.009 0.000 4.440
Tl 1.789 1.785 2.261
Br 1.739 1.785 7.458

---

(ii)
16
Lattice="5.989 0.000 0.000 0.000 6.421 0.000 0.000 0.000 12.112" Properties=species:S:1:pos:R:3 comment="PBEsol CaTl2Br, optimized geometry" crystal_system=orthorhombic spacegroup=Fmmm pbc="T T T"
Ca 0.000 0.000 0.000
Ca 0.000 3.211 6.056
Ca 2.994 0.000 6.056
Ca 2.994 3.211 0.000
Tl 0.000 1.605 3.028
Tl 0.000 1.605 9.084
Tl 0.000 4.816 3.028
Tl 0.000 4.816 9.084
Tl 2.994 1.605 3.028
Tl 2.994 1.605 9.084
Tl 2.994 4.816 3.028
Tl 2.994 4.816 9.084
Br 0.000 0.000 6.056
Br 0.000 3.211 0.000
Br 2.994 0.000 0.000
Br 2.994 3.211 6.056

---

(iii)
8
Lattice="10.476 0.000 0.000 0.000 3.659 0.000 -1.078 0.000 5.960" Properties=species:S:1:pos:R:3 comment="PBEsol CaTl2Br, optimized geometry" crystal_system=monoclinic spacegroup=Cm pbc="T T T"
Ca 0.000 0.000 0.000
Ca 5.238 1.830 0.000
Tl 2.247 1.830 2.121
Tl 4.610 0.000 3.154
Tl 7.485 0.000 2.121
Tl 9.848 1.830 3.154
Br 1.932 0.000 5.346
Br 7.170 1.830 5.346

---

(i) wins, 0.106 eV/atom ahead of the next structure.

---

(i)
4
Lattice="4.271 0.000 0.000 0.000 4.271 0.000 0.000 0.000 5.488" Properties=species:S:1:pos:R:3 comment="PBEsol CaZn2Br, optimized geometry" crystal_system=tetragonal spacegroup=P4/mmm pbc="T T T"
Ca 0.000 0.000 0.000
Zn 2.135 2.135 1.433
Zn 2.135 2.135 4.055
Br 0.000 0.000 2.744

---

(ii)
4
Lattice="3.943 0.000 0.000 0.000 4.041 0.000 0.000 0.000 5.642" Properties=species:S:1:pos:R:3 comment="PBEsol CaZn2Br, optimized geometry" crystal_system=orthorhombic spacegroup=Pmmm pbc="T T T"
Ca 0.000 0.000 0.000
Zn 0.000 2.021 2.821
Zn 1.972 0.000 2.821
Br 1.972 2.021 0.000

---

(ii) wins, 0.162 eV/atom ahead of the next structure.